# 1
Here is a crystal of Mn2FeMo relaxed with PBEsol from the Alexandria database. Energies are from meta-GGA SCAN.

Summary:
raw total energy	-22.333	eV/atom
M_tot	3.8	Bohr magnetons per cell

Unit cell a=3.019 b=3.933 c=3.997 alpha=90.00 beta=90.00 gamma=90.00
Atoms (fractional coordinates):
Mn1 0.000 0.000 0.000
Mn2 0.500 0.000 0.500
Fe1 0.000 0.500 0.500
Mo1 0.500 0.500 0.000

# 2
Here is a crystal of MnFe2Mo relaxed with PBEsol from the Alexandria database. Energies are from meta-GGA SCAN.

Summary:
M_tot	1.8	Bohr magnetons per cell
ΔE to the lowest computed polymorph	0.201	eV/atom

Unit cell a=2.547 b=3.457 c=5.225 alpha=90.00 beta=90.00 gamma=90.00
Atoms (fractional coordinates):
Mn1 0.000 0.000 0.000
Fe1 0.000 0.000 0.563
Fe2 0.500 0.500 0.798
Mo1 0.500 0.500 0.292

# 3
Here is a crystal of MnFe2Mo relaxed with PBEsol from the Alexandria database. Energies are from meta-GGA SCAN.

Summary:
M_tot	6.2	Bohr magnetons per cell
ΔE to the lowest computed polymorph	0.064	eV/atom

Unit cell a=2.521 b=4.036 c=4.812 alpha=90.00 beta=102.22 gamma=90.00
Atoms (fractional coordinates):
Mn1 0.000 0.000 0.000
Fe1 0.247 0.500 0.762
Fe2 0.753 0.500 0.238
Mo1 0.500 0.000 0.500

# 4
Here is a crystal of MnFeMo relaxed with PBEsol from the Alexandria database. Energies are from meta-GGA SCAN.

Summary:
raw total energy	-23.691	eV/atom
M_tot	4.0	Bohr magnetons per cell

Unit cell a=4.108 b=4.108 c=2.543 alpha=90.00 beta=90.00 gamma=120.00
Atoms (fractional coordinates):
Mn1 0.000 0.000 0.000
Fe1 0.333 0.667 0.337
Mo1 0.667 0.333 0.674